# 1
Computed, not measured: a relaxed BaNdZnIn crystal at the PBE level of DFT.

Geometry as POSCAR:
```
BaNdZnIn
1.0
-0.328 -2.078 -5.246
3.396 -4.233 -1.580
-2.134 -5.162 -0.867
Zn Nd Ba In
1 1 1 1
Direct
0.000 0.000 0.000
0.250 0.250 0.250
0.750 0.750 0.750
0.500 0.500 0.500
```

Properties
crystal system	cubic
E_tot	-11.604	eV per cell

=====

# 2
Computed, not measured: a relaxed Hf4Ni3As8 crystal at the PBE level of DFT.

Geometry as POSCAR:
```
Hf4Ni3As8
1.0
3.823 0.000 0.000
0.000 3.823 0.000
0.000 0.000 17.466
Hf Ni As
4 3 8
Direct
0.500 0.000 0.124
0.500 0.000 0.632
0.000 0.500 0.876
0.000 0.500 0.368
0.000 0.000 0.500
0.500 0.500 0.000
0.500 0.500 0.500
0.500 0.000 0.927
0.500 0.000 0.417
0.000 0.500 0.073
0.000 0.500 0.583
0.000 0.000 0.755
0.000 0.000 0.245
0.500 0.500 0.755
0.500 0.500 0.245
```

Properties
crystal system	tetragonal
E_tot	-104.512	eV per cell

=====

# 3
Computed, not measured: a relaxed K2CuTe crystal at the PBE level of DFT.

Geometry as POSCAR:
```
K2CuTe
1.0
4.723 0.367 0.000
2.078 4.257 0.000
0.000 0.000 9.968
Cu K Te
1 2 1
Direct
0.500 0.500 0.659
0.000 0.000 0.926
0.500 0.500 0.332
0.000 0.000 0.583
```

Properties
crystal system	orthorhombic
E_tot	-10.066	eV per cell

=====

# 4
Computed, not measured: a relaxed Zn2SiMo crystal at the PBE level of DFT.

Geometry as POSCAR:
```
Zn2SiMo
1.0
4.374 0.000 0.000
0.000 3.616 0.000
0.000 0.000 3.616
Mo Si Zn
1 1 2
Direct
0.500 0.500 0.000
0.500 0.000 0.500
0.000 0.000 0.000
0.000 0.500 0.500
```

Properties
crystal system	tetragonal
E_tot	-18.558	eV per cell

=====

# 5
Computed, not measured: a relaxed PaAlPtO6 crystal at the PBE level of DFT.

Geometry as POSCAR:
```
PaAlPtO6
1.0
5.217 0.000 0.000
-2.608 4.518 0.000
0.000 0.000 8.872
Pa Al Pt O
2 2 2 12
Direct
0.333 0.667 0.250
0.667 0.333 0.750
0.000 0.000 0.000
0.000 0.000 0.500
0.667 0.333 0.250
0.333 0.667 0.750
0.693 0.674 0.120
0.981 0.307 0.120
0.307 0.981 0.620
0.019 0.693 0.880
0.326 0.307 0.380
0.981 0.674 0.380
0.674 0.981 0.880
0.693 0.019 0.380
0.019 0.326 0.620
0.326 0.019 0.120
0.674 0.693 0.620
0.307 0.326 0.880
```

Properties
crystal system	trigonal
E_tot	-138.033	eV per cell

=====

# 6
Computed, not measured: a relaxed Dy4Sn2Ir crystal at the PBE level of DFT.

Geometry as POSCAR:
```
Dy4Sn2Ir
1.0
-3.791 -1.209 2.287
-4.141 -1.236 -7.519
5.983 -3.141 3.653
Dy Sn Ir
4 2 1
Direct
0.929 0.214 0.858
0.071 0.786 0.142
0.669 0.278 0.339
0.331 0.722 0.661
0.652 0.638 0.303
0.348 0.362 0.697
0.000 0.000 0.000
```

Properties
crystal system	monoclinic
E_tot	-40.287	eV per cell